Density functional theory data (PBE) for an optimized crystal structure of B3MoRh.

E_tot   -0.4526 Ry/atom
Offset from the most stable computed form   0.146 eV/atom
Energy of formation   1.485 eV per atom
Total moment   1.8 μB per formula unit

a = 4.069 Å, b = 4.069 Å, c = 4.069 Å
α = 90.00°, β = 90.00°, γ = 90.00°
Space group Pm-3m (No. 221)
Unique sites:
B (0.000, 0.000, 0.500) [3 per cell]
Mo (0.000, 0.000, 0.000) [1 per cell]
Rh (0.500, 0.500, 0.500) [1 per cell]

Density functional theory data (PBE) for an optimized crystal structure of BMoRh2.

E_tot   -0.5580 Ry/atom
Energy of formation   0.460 eV per atom
Total moment   0.0 μB per formula unit

a = 5.114 Å, b = 5.114 Å, c = 10.142 Å
α = 90.00°, β = 90.00°, γ = 90.00°
Space group I-42d (No. 122)
Unique sites:
B (0.000, 0.000, 0.000) [4 per cell]
Mo (0.000, 0.000, 0.500) [4 per cell]
Rh (0.178, 0.250, 0.125) [8 per cell]

Density functional theory data (PBE) for an optimized crystal structure of B2Mo2Rh.

E_tot   -0.6094 Ry/atom
Energy of formation   0.183 eV per atom
Total moment   0.0 μB per formula unit

a = 4.608 Å, b = 11.453 Å, c = 4.737 Å
α = 90.00°, β = 90.00°, γ = 90.00°
Space group Cmcm (No. 63)
Unique sites:
B (0.190, 0.102, 0.250) [8 per cell]
Mo (0.000, 0.091, 0.750) [4 per cell]
Mo (0.000, 0.278, 0.250) [4 per cell]
Rh (0.000, 0.500, 0.000) [4 per cell]

Density functional theory data (PBE) for an optimized crystal structure of B2Mo2Rh.

E_tot   -0.6491 Ry/atom
Energy of formation   -0.358 eV per atom
Total moment   0.0 μB per formula unit

a = 5.576 Å, b = 5.576 Å, c = 3.632 Å
α = 90.00°, β = 90.00°, γ = 90.00°
Space group P4/mbm (No. 127)
Unique sites:
B (0.115, 0.385, 0.000) [4 per cell]
Mo (0.169, 0.669, 0.500) [4 per cell]
Rh (0.000, 0.000, 0.000) [2 per cell]

Density functional theory data (PBE) for an optimized crystal structure of B2MoRh2.

E_tot   -0.5770 Ry/atom
Energy of formation   -0.073 eV per atom
Total moment   0.0 μB per formula unit

a = 6.437 Å, b = 6.437 Å, c = 2.695 Å
α = 90.00°, β = 90.00°, γ = 90.00°
Space group P4/mbm (No. 127)
Unique sites:
B (0.151, 0.349, 0.000) [4 per cell]
Mo (0.000, 0.000, 0.000) [2 per cell]
Rh (0.150, 0.650, 0.500) [4 per cell]

Density functional theory data (PBE) for an optimized crystal structure of BMoRh3.

E_tot   -0.4365 Ry/atom
Offset from the most stable computed form   1.929 eV/atom
Energy of formation   1.973 eV per atom
Total moment   0.0 μB per formula unit

a = 4.666 Å, b = 4.666 Å, c = 4.666 Å
α = 90.00°, β = 90.00°, γ = 90.00°
Space group Pm-3m (No. 221)
Unique sites:
B (0.000, 0.000, 0.000) [1 per cell]
Mo (0.500, 0.500, 0.500) [1 per cell]
Rh (0.000, 0.500, 0.500) [3 per cell]

Density functional theory data (PBE) for an optimized crystal structure of BTeMo2Rh.

E_tot   -0.4855 Ry/atom
Offset from the most stable computed form   0.000 eV/atom
Total moment   1.1 μB per formula unit

a = 4.887 Å, b = 4.887 Å, c = 3.865 Å
α = 90.00°, β = 90.00°, γ = 90.00°
Space group P4/mmm (No. 123)
Unique sites:
B (0.000, 0.000, 0.000) [1 per cell]
Te (0.500, 0.500, 0.000) [1 per cell]
Mo (0.000, 0.500, 0.500) [2 per cell]
Rh (0.000, 0.000, 0.500) [1 per cell]

Density functional theory data (PBE) for an optimized crystal structure of BTeMo2Rh.

E_tot   -0.4007 Ry/atom
Offset from the most stable computed form   1.153 eV/atom
Total moment   3.9 μB per formula unit

a = 4.998 Å, b = 4.998 Å, c = 4.165 Å
α = 90.00°, β = 90.00°, γ = 90.00°
Space group P4/mmm (No. 123)
Unique sites:
B (0.000, 0.000, 0.000) [1 per cell]
Te (0.000, 0.000, 0.500) [1 per cell]
Mo (0.000, 0.500, 0.500) [2 per cell]
Rh (0.500, 0.500, 0.000) [1 per cell]